Compound: In2GaHg2Bi
Source: the Alexandria database
Functional: PBE
Structure: optimized geometry

Results
Energy of formation in eV/atom: 0.04
Calculated density in kg/m³: 9169

CIF file:
```
data_In2GaHg2Bi
_chemical_formula_sum 'In4 Ga2 Hg4 Bi2'
_symmetry_space_group_name_H-M 'P m c 21'
_symmetry_Int_Tables_number 26
_symmetry_space_group_name_Hall 'P 2c -2'
_cell_length_a 4.3220
_cell_length_b 10.2413
_cell_length_c 7.4430
_cell_angle_alpha 90.00
_cell_angle_beta 90.00
_cell_angle_gamma 90.00
loop_
_atom_site_label
_atom_site_type_symbol
_atom_site_fract_x
_atom_site_fract_y
_atom_site_fract_z
In1 In 0.0000 0.1782 0.0000
In2 In 0.5000 0.3074 0.3521
Ga1 Ga 0.0000 0.1108 0.4037
Hg1 Hg 0.0000 0.3938 0.6489
Hg2 Hg 0.5000 0.4005 0.9579
Bi1 Bi 0.5000 0.0559 0.6904
```

---

Compound: KIn4Au12
Source: the Alexandria database
Functional: PBE
Structure: optimized geometry

Results
Energy of formation in eV/atom: 0.08
Calculated density in kg/m³: 11257

CIF file:
```
data_KIn4Au12
_chemical_formula_sum 'K2 In8 Au24'
_symmetry_space_group_name_H-M 'I m -3'
_symmetry_Int_Tables_number 204
_symmetry_space_group_name_Hall '-I 2 2 3'
_cell_length_a 9.4515
_cell_length_b 9.4515
_cell_length_c 9.4515
_cell_angle_alpha 90.00
_cell_angle_beta 90.00
_cell_angle_gamma 90.00
loop_
_atom_site_label
_atom_site_type_symbol
_atom_site_fract_x
_atom_site_fract_y
_atom_site_fract_z
K1 K 0.0000 0.0000 0.0000
In1 In 0.2500 0.2500 0.2500
Au1 Au 0.0000 0.3545 0.1460
```

---

Compound: CeTh4Sn4
Source: the Alexandria database
Functional: PBE
Structure: optimized geometry

Results
Energy of formation in eV/atom: -0.26
Calculated density in kg/m³: 8157

CIF file:
```
data_CeTh4Sn4
_chemical_formula_sum 'Ce2 Th8 Sn8'
_symmetry_space_group_name_H-M 'I 4/m'
_symmetry_Int_Tables_number 87
_symmetry_space_group_name_Hall '-I 4'
_cell_length_a 9.9497
_cell_length_b 9.9497
_cell_length_c 6.3464
_cell_angle_alpha 90.00
_cell_angle_beta 90.00
_cell_angle_gamma 90.00
loop_
_atom_site_label
_atom_site_type_symbol
_atom_site_fract_x
_atom_site_fract_y
_atom_site_fract_z
Ce1 Ce 0.0000 0.0000 0.0000
Th1 Th 0.1004 0.7082 0.5000
Sn1 Sn 0.0938 0.6991 0.0000
```

---

Compound: ScRePt2
Source: the Alexandria database
Functional: PBE
Structure: optimized geometry

Results
Energy of formation in eV/atom: -0.19
Calculated density in kg/m³: 15844

CIF file:
```
data_ScRePt2
_chemical_formula_sum 'Sc4 Re4 Pt8'
_symmetry_space_group_name_H-M 'F -4 3 m'
_symmetry_Int_Tables_number 216
_symmetry_space_group_name_Hall 'F -4 2 3'
_cell_length_a 6.3865
_cell_length_b 6.3865
_cell_length_c 6.3865
_cell_angle_alpha 90.00
_cell_angle_beta 90.00
_cell_angle_gamma 90.00
loop_
_atom_site_label
_atom_site_type_symbol
_atom_site_fract_x
_atom_site_fract_y
_atom_site_fract_z
Sc1 Sc 0.0000 0.0000 0.0000
Re1 Re 0.2500 0.2500 0.2500
Pt1 Pt 0.0000 0.0000 0.5000
Pt2 Pt 0.2500 0.2500 0.7500
```

---

Compound: LaHf2F11
Source: the Alexandria database
Functional: PBE
Structure: optimized geometry

Results
ΔE_f (raw) in eV/f.u.: -55.2
Calculated density in kg/m³: 5296

CIF file:
```
data_LaHf2F11
_chemical_formula_sum 'La4 Hf8 F44'
_symmetry_space_group_name_H-M 'I b a m'
_symmetry_Int_Tables_number 72
_symmetry_space_group_name_Hall '-I 2 2c'
_cell_length_a 7.8036
_cell_length_b 10.1277
_cell_length_c 11.1863
_cell_angle_alpha 90.00
_cell_angle_beta 90.00
_cell_angle_gamma 90.00
loop_
_atom_site_label
_atom_site_type_symbol
_atom_site_fract_x
_atom_site_fract_y
_atom_site_fract_z
La1 La 0.0000 0.0000 0.2500
Hf1 Hf 0.1324 0.3192 0.0000
F1 F 0.0000 0.5000 0.0000
F2 F 0.1024 0.1866 0.1344
F3 F 0.1304 0.2805 0.5000
F4 F 0.2389 0.0776 0.3724
```

---

no.,DFT total energy (eV/atom)
1,-2.127
2,-2.939
3,-6.001
4,-7.902
5,-7.188